Material: Li4MnCu3P4O16
Method: DFT, PBE+U
State: relaxed

calculated total energy = -6.47 eV/atom

Cell: 4.765 10.134 6.144 Å, 90.00 90.00 88.93°
Last column: magnetic moment on the atom in μB.
Fractional coordinates of all 28 atoms:
Mn: 0.974 0.282 0.250  4.65
O: 0.248 0.897 0.750  0.06
Cu: 0.441 0.212 0.750  0.59
O: 0.283 0.160 0.050  0.07
O: 0.781 0.342 0.953  0.03
O: 0.781 0.342 0.547  0.03
O: 0.763 0.607 0.250  0.06
Li: 0.996 0.992 0.003  0.00
O: 0.743 0.089 0.250  0.02
O: 0.219 0.673 0.453  0.10
O: 0.713 0.835 0.952  0.09
O: 0.815 0.554 0.750  0.09
O: 0.713 0.835 0.548  0.09
O: 0.212 0.460 0.250  0.03
O: 0.243 0.393 0.750  0.06
O: 0.301 0.945 0.250  0.08
P: 0.918 0.405 0.750  0.01
O: 0.283 0.160 0.450  0.07
O: 0.219 0.673 0.047  0.10
Li: 0.506 0.504 0.002  0.00
P: 0.422 0.088 0.250  0.00
P: 0.088 0.603 0.250  0.00
O: 0.677 0.049 0.750  0.09
Li: 0.506 0.504 0.498  0.00
P: 0.572 0.904 0.750  0.00
Cu: 0.542 0.784 0.250  0.67
Li: 0.996 0.992 0.497  0.00
Cu: 0.045 0.715 0.750  0.66